No. 1
Computed, not measured: AcTa2Ir2 after structural relaxation at the PBE-GGA level of DFT.

Values from the calculation:
The calculated formation energy is -0.572 eV/atom. The spin magnetization is 0.0 μB per cell.

```
5
Lattice="-2.257 2.257 5.437 2.257 -2.257 5.437 2.257 2.257 -5.437" Properties=species:S:1:pos:R:3 pbc="T T T"
Ac 0.000 0.000 0.000
Ta 2.257 0.000 2.719
Ta 0.000 2.257 2.719
Ir 0.000 0.000 4.021
Ir 0.000 0.000 6.853
```

=====

No. 2
Computed, not measured: AcTaTiIr2 after structural relaxation at the PBE-GGA level of DFT.

Values from the calculation:
The calculated formation energy is -0.684 eV/atom. The spin magnetization is 0.0 μB per cell.

```
5
Lattice="-2.222 2.222 5.454 2.222 -2.222 5.454 2.222 2.222 -5.454" Properties=species:S:1:pos:R:3 pbc="T T T"
Ac 0.000 0.000 0.000
Ta 0.000 2.222 2.727
Ti 2.222 0.000 2.727
Ir 0.000 0.000 4.053
Ir 0.000 0.000 6.856
```

=====

No. 3
Computed, not measured: AcZrTaIr2 after structural relaxation at the PBE-GGA level of DFT.

Values from the calculation:
The calculated formation energy is -0.662 eV/atom. The spin magnetization is 0.0 μB per cell.

```
5
Lattice="-2.282 2.282 5.488 2.282 -2.282 5.488 2.282 2.282 -5.488" Properties=species:S:1:pos:R:3 pbc="T T T"
Ac 0.000 0.000 0.000
Zr 0.000 2.282 2.744
Ta 2.282 0.000 2.744
Ir 0.000 0.000 4.101
Ir 0.000 0.000 6.875
```